VASP calculation (PBE-GGA) on a relaxed Rb2PtC crystal.

Cell and atoms, written as CIF:
```
data_Rb2PtC
_chemical_formula_sum 'Rb8 Pt4 C4'
_symmetry_space_group_name_H-M 'I -4 2 d'
_symmetry_Int_Tables_number 122
_symmetry_space_group_name_Hall 'I -4 2bw'
_cell_length_a 12.375
_cell_length_b 12.375
_cell_length_c 3.873
_cell_angle_alpha 90.00
_cell_angle_beta 90.00
_cell_angle_gamma 90.00
loop_
_atom_site_label
_atom_site_fract_x
_atom_site_fract_y
_atom_site_fract_z
_atom_site_occupancy
Rb1 0.036 0.250 0.125 1
Pt1 0.000 0.000 0.500 1
C1 0.000 0.000 0.000 1
```

Output
calculated total energy = -65.8 eV/cell
crystal system = tetragonal
energy relative to the elements = 188 meV per atom

---

VASP calculation (PBE-GGA) on a relaxed CsScAgBr5 crystal.

Cell and atoms, written as CIF:
```
data_CsScAgBr5
_chemical_formula_sum 'Cs4 Sc4 Ag4 Br20'
_symmetry_space_group_name_H-M 'C 1 2/c 1'
_symmetry_Int_Tables_number 15
_cell_length_a 9.205
_cell_length_b 12.964
_cell_length_c 10.355
_cell_angle_alpha 90.00
_cell_angle_beta 109.37
_cell_angle_gamma 90.00
loop_
_symmetry_equiv_pos_as_xyz
'x,y,z'
'-x,-y,-z'
'-x,y,-z+1/2'
'x,-y,z+1/2'
'x+1/2,y+1/2,z'
'-x+1/2,-y+1/2,-z'
'-x+1/2,y+1/2,-z+1/2'
'x+1/2,-y+1/2,z+1/2'
loop_
_atom_site_label
_atom_site_fract_x
_atom_site_fract_y
_atom_site_fract_z
_atom_site_occupancy
Cs1 0.000 0.157 0.250 1
Sc1 0.000 0.500 0.000 1
Ag1 0.000 0.186 0.750 1
Br1 0.000 0.442 0.250 1
Br2 0.094 0.310 0.582 1
Br3 0.207 0.063 0.941 1
```

Output
calculated total energy = -118.0 eV/cell
formation energy without anion corrections = -1.388 eV per atom
crystal system = monoclinic

---

VASP calculation (PBE-GGA) on a relaxed Re3SnCl crystal.

Cell and atoms, written as CIF:
```
data_Re3SnCl
_chemical_formula_sum 'Re3 Sn1 Cl1'
_symmetry_space_group_name_H-M 'P m -3 m'
_symmetry_Int_Tables_number 221
_symmetry_space_group_name_Hall '-P 4 2 3'
_cell_length_a 4.432
_cell_length_b 4.432
_cell_length_c 4.432
_cell_angle_alpha 90.00
_cell_angle_beta 90.00
_cell_angle_gamma 90.00
loop_
_atom_site_label
_atom_site_fract_x
_atom_site_fract_y
_atom_site_fract_z
_atom_site_occupancy
Re1 0.000 0.000 0.500 1
Sn1 0.500 0.500 0.500 1
Cl1 0.000 0.000 0.000 1
```

Output
calculated total energy = -34.3 eV/cell
distance to the lowest polymorph of the same formula = 0.000 eV per atom
formation energy without anion corrections = 1.772 eV per atom
crystal system = cubic

---

VASP calculation (PBE-GGA) on a relaxed Y2TaMo crystal.

Cell and atoms, written as CIF:
```
data_Y2TaMo
_chemical_formula_sum 'Y4 Ta2 Mo2'
_symmetry_space_group_name_H-M 'I 4/m m m'
_symmetry_Int_Tables_number 139
_symmetry_space_group_name_Hall '-I 4 2'
_cell_length_a 4.191
_cell_length_b 4.191
_cell_length_c 10.045
_cell_angle_alpha 90.00
_cell_angle_beta 90.00
_cell_angle_gamma 90.00
loop_
_atom_site_label
_atom_site_fract_x
_atom_site_fract_y
_atom_site_fract_z
_atom_site_occupancy
Y1 0.000 0.500 0.250 1
Ta1 0.000 0.000 0.000 1
Mo1 0.000 0.000 0.500 1
```

Output
calculated total energy = -67.0 eV/cell
distance to the lowest polymorph of the same formula = 0.393 eV per atom
crystal system = tetragonal
energy relative to the elements = 530 meV per atom

---

VASP calculation (PBE-GGA) on a relaxed Ce5CoGe3 crystal.

Cell and atoms, written as CIF:
```
data_Ce5CoGe3
_chemical_formula_sum 'Ce10 Co2 Ge6'
_symmetry_space_group_name_H-M 'P 63/m c m'
_symmetry_Int_Tables_number 193
_symmetry_space_group_name_Hall '-P 6c 2'
_cell_length_a 8.9680
_cell_length_b 8.9680
_cell_length_c 6.1706
_cell_angle_alpha 90.00
_cell_angle_beta 90.00
_cell_angle_gamma 120.00
loop_
_atom_site_label
_atom_site_fract_x
_atom_site_fract_y
_atom_site_fract_z
_atom_site_occupancy
Ce1 0.0000 0.2524 0.2500 1
Ce2 0.3333 0.6667 0.0000 1
Co1 0.0000 0.0000 0.0000 1
Ge1 0.0000 0.3907 0.7500 1
```

Output
calculated total energy = -111.0 eV/cell
crystal system = hexagonal
energy relative to the elements = -540 meV per atom

---

VASP calculation (PBE-GGA) on a relaxed LiTi2Se4 crystal.

Cell and atoms, written as CIF:
```
data_LiTi2Se4
_chemical_formula_sum 'Li4 Ti8 Se16'
_symmetry_space_group_name_H-M 'I m m a'
_symmetry_Int_Tables_number 74
_symmetry_space_group_name_Hall '-I 2b 2'
_cell_length_a 7.563
_cell_length_b 7.565
_cell_length_c 10.717
_cell_angle_alpha 90.00
_cell_angle_beta 90.00
_cell_angle_gamma 90.00
loop_
_atom_site_label
_atom_site_fract_x
_atom_site_fract_y
_atom_site_fract_z
_atom_site_occupancy
Li1 0.000 0.250 0.125 1
Ti1 0.000 0.000 0.500 1
Ti2 0.250 0.250 0.750 1
Se1 0.000 0.015 0.743 1
Se2 0.236 0.250 0.508 1
```

Output
calculated total energy = -158.6 eV/cell
distance to the lowest polymorph of the same formula = 0.000 eV per atom
formation energy without anion corrections = -1.142 eV per atom
crystal system = orthorhombic

---

VASP calculation (PBE-GGA) on a relaxed KTcNi crystal.

Cell and atoms, written as CIF:
```
data_KTcNi
_chemical_formula_sum 'K2 Tc2 Ni2'
_symmetry_space_group_name_H-M 'P 1'
_symmetry_Int_Tables_number 1
_cell_length_a 2.951
_cell_length_b 4.015
_cell_length_c 12.196
_cell_angle_alpha 90.13
_cell_angle_beta 90.65
_cell_angle_gamma 90.00
loop_
_symmetry_equiv_pos_as_xyz
'x,y,z'
loop_
_atom_site_label
_atom_site_fract_x
_atom_site_fract_y
_atom_site_fract_z
_atom_site_occupancy
K1 0.000 0.000 0.000 1
K2 0.465 0.496 0.350 1
Tc1 0.505 0.499 0.631 1
Tc2 0.999 0.998 0.576 1
Ni1 0.012 0.500 0.792 1
Ni2 0.508 0.000 0.757 1
```

Output
calculated total energy = -31.5 eV/cell
distance to the lowest polymorph of the same formula = 0.076 eV per atom
crystal system = triclinic
energy relative to the elements = 501 meV per atom

---

VASP calculation (PBE-GGA) on a relaxed LiIrBr3 crystal.

Cell and atoms, written as CIF:
```
data_LiIrBr3
_chemical_formula_sum 'Li1 Ir1 Br3'
_symmetry_space_group_name_H-M 'P m -3 m'
_symmetry_Int_Tables_number 221
_symmetry_space_group_name_Hall '-P 4 2 3'
_cell_length_a 5.140
_cell_length_b 5.140
_cell_length_c 5.140
_cell_angle_alpha 90.00
_cell_angle_beta 90.00
_cell_angle_gamma 90.00
loop_
_atom_site_label
_atom_site_fract_x
_atom_site_fract_y
_atom_site_fract_z
_atom_site_occupancy
Li1 0.000 0.000 0.000 1
Ir1 0.500 0.500 0.500 1
Br1 0.000 0.500 0.500 1
```

Output
calculated total energy = -16.7 eV/cell
formation energy without anion corrections = -0.178 eV per atom
crystal system = cubic

---

VASP calculation (PBE-GGA) on a relaxed LiDyTmMg crystal.

Cell and atoms, written as CIF:
```
data_LiDyTmMg
_chemical_formula_sum 'Li4 Dy4 Tm4 Mg4'
_symmetry_space_group_name_H-M 'F -4 3 m'
_symmetry_Int_Tables_number 216
_symmetry_space_group_name_Hall 'F -4 2 3'
_cell_length_a 7.468
_cell_length_b 7.468
_cell_length_c 7.468
_cell_angle_alpha 90.00
_cell_angle_beta 90.00
_cell_angle_gamma 90.00
loop_
_atom_site_label
_atom_site_fract_x
_atom_site_fract_y
_atom_site_fract_z
_atom_site_occupancy
Li1 0.000 0.000 0.000 1
Dy1 0.250 0.250 0.750 1
Tm1 0.250 0.250 0.250 1
Mg1 0.000 0.000 0.500 1
```

Output
calculated total energy = -49.4 eV/cell
crystal system = cubic
energy relative to the elements = 56 meV per atom

---

VASP calculation (PBE-GGA) on a relaxed Nd3Ho6In crystal.

Cell and atoms, written as CIF:
```
data_Nd3Ho6In
_chemical_formula_sum 'Nd6 Ho12 In2'
_symmetry_space_group_name_H-M 'P 1 21/m 1'
_symmetry_Int_Tables_number 11
_cell_length_a 9.733
_cell_length_b 5.600
_cell_length_c 12.414
_cell_angle_alpha 90.00
_cell_angle_beta 110.50
_cell_angle_gamma 90.00
loop_
_symmetry_equiv_pos_as_xyz
'x,y,z'
'-x,-y,-z'
'-x,y+1/2,-z'
'x,-y+1/2,z'
loop_
_atom_site_label
_atom_site_fract_x
_atom_site_fract_y
_atom_site_fract_z
_atom_site_occupancy
Nd1 0.024 0.250 0.378 1
Nd2 0.102 0.750 0.223 1
Nd3 0.271 0.250 0.976 1
Ho1 0.039 0.750 0.929 1
Ho2 0.203 0.250 0.673 1
Ho3 0.270 0.750 0.516 1
Ho4 0.348 0.250 0.301 1
Ho5 0.351 0.750 0.827 1
Ho6 0.426 0.750 0.139 1
In1 0.470 0.250 0.586 1
```

Output
calculated total energy = -90.2 eV/cell
distance to the lowest polymorph of the same formula = 0.000 eV per atom
crystal system = monoclinic
energy relative to the elements = -60 meV per atom